## PrEr5Tm4 (PBE)

Data for an optimized crystal structure of PrEr5Tm4.

Cell and atoms, written as CIF:
```
data_PrEr5Tm4
_space_group_name_H-M_alt 'P -1'
_space_group_IT_number 2
_cell_length_a 3.5274
_cell_length_b 9.3099
_cell_length_c 9.9250
_cell_angle_alpha 105.50
_cell_angle_beta 90.06
_cell_angle_gamma 100.92
loop_
_space_group_symop_operation_xyz
'x,y,z'
'-x,-y,-z'
loop_
_atom_site_label
_atom_site_type_symbol
_atom_site_fract_x
_atom_site_fract_y
_atom_site_fract_z
_atom_site_occupancy
Pr1 Pr 0.0000 0.0000 0.0000 1
Er1 Er 0.0000 0.0000 0.5000 1
Er2 Er 0.1996 0.3993 0.5992 1
Er3 Er 0.2006 0.4014 0.1011 1
Tm1 Tm 0.3989 0.7971 0.2020 1
Tm2 Tm 0.3992 0.7980 0.6968 1
```

Summary:
Its relative energy among the computed polymorphs is 0.000 eV/f.u. The total magnetic moment is 0.0000 μB/atom. Its volume is 307.9 Å³/f.u. Its formation energy is 0.03 eV per atom.

## PrEr7Tm2 (PBE)

Data for an optimized crystal structure of PrEr7Tm2.

Cell and atoms, written as CIF:
```
data_PrEr7Tm2
_space_group_name_H-M_alt 'C m m m'
_space_group_IT_number 65
_space_group_name_Hall '-C 2 2'
_cell_length_a 8.7015
_cell_length_b 15.8766
_cell_length_c 5.5999
_cell_angle_alpha 90.00
_cell_angle_beta 90.00
_cell_angle_gamma 90.00
loop_
_atom_site_label
_atom_site_type_symbol
_atom_site_fract_x
_atom_site_fract_y
_atom_site_fract_z
_atom_site_occupancy
Pr1 Pr 0.0000 0.0000 0.0000 1
Er1 Er 0.0000 0.2187 0.0000 1
Er2 Er 0.0000 0.5000 0.5000 1
Er3 Er 0.1768 0.1165 0.5000 1
Tm1 Tm 0.0000 0.2967 0.5000 1
```

Summary:
Its relative energy among the computed polymorphs is 6.626 eV/f.u. The total magnetic moment is 0.0000 μB/atom. Its volume is 386.8 Å³/f.u. Its formation energy is 0.71 eV per atom.

## PrEr6Tm6 (PBE)

Data for an optimized crystal structure of PrEr6Tm6.

Cell and atoms, written as CIF:
```
data_PrEr6Tm6
_space_group_name_H-M_alt 'C m m m'
_space_group_IT_number 65
_space_group_name_Hall '-C 2 2'
_cell_length_a 6.9677
_cell_length_b 11.0673
_cell_length_c 10.8782
_cell_angle_alpha 90.00
_cell_angle_beta 90.00
_cell_angle_gamma 90.00
loop_
_atom_site_label
_atom_site_type_symbol
_atom_site_fract_x
_atom_site_fract_y
_atom_site_fract_z
_atom_site_occupancy
Pr1 Pr 0.0000 0.0000 0.0000 1
Er1 Er 0.0000 0.0000 0.3373 1
Er2 Er 0.0000 0.2629 0.5000 1
Er3 Er 0.0000 0.3563 0.0000 1
Tm1 Tm 0.0000 0.5000 0.3020 1
Tm2 Tm 0.2500 0.2500 0.2275 1
```

Summary:
The total magnetic moment is 0.0001 μB/atom. Its volume is 419.4 Å³/f.u. Its formation energy is 0.22 eV per atom.

## Pr3Er2Tm7 (PBE)

Data for an optimized crystal structure of Pr3Er2Tm7.

Cell and atoms, written as CIF:
```
data_Pr3Er2Tm7
_space_group_name_H-M_alt 'P 1 2/m 1'
_space_group_IT_number 10
_cell_length_a 3.6095
_cell_length_b 5.5533
_cell_length_c 20.3613
_cell_angle_alpha 90.00
_cell_angle_beta 95.11
_cell_angle_gamma 90.00
loop_
_space_group_symop_operation_xyz
'x,y,z'
'-x,-y,-z'
'-x,y,-z'
'x,-y,z'
loop_
_atom_site_label
_atom_site_type_symbol
_atom_site_fract_x
_atom_site_fract_y
_atom_site_fract_z
_atom_site_occupancy
Pr1 Pr 0.0000 0.0000 0.0000 1
Pr2 Pr 0.3287 0.5000 0.6599 1
Er1 Er 0.1380 0.0000 0.2727 1
Tm1 Tm 0.0855 0.5000 0.1693 1
Tm2 Tm 0.2152 0.0000 0.4303 1
Tm3 Tm 0.4314 0.0000 0.8648 1
Tm4 Tm 0.5000 0.5000 0.0000 1
```

Summary:
The total magnetic moment is 0.0004 μB/atom. Its volume is 406.5 Å³/f.u. Its formation energy is 0.24 eV per atom.

> Which of these has the lowest formation energy?

PrEr5Tm4

What did the fourth record say?
## Pr3Er2Tm7 (PBE)

Data for an optimized crystal structure of Pr3Er2Tm7.

Cell and atoms, written as CIF:
```
data_Pr3Er2Tm7
_space_group_name_H-M_alt 'P 1 2/m 1'
_space_group_IT_number 10
_cell_length_a 3.6095
_cell_length_b 5.5533
_cell_length_c 20.3613
_cell_angle_alpha 90.00
_cell_angle_beta 95.11
_cell_angle_gamma 90.00
loop_
_space_group_symop_operation_xyz
'x,y,z'
'-x,-y,-z'
'-x,y,-z'
'x,-y,z'
loop_
_atom_site_label
_atom_site_type_symbol
_atom_site_fract_x
_atom_site_fract_y
_atom_site_fract_z
_atom_site_occupancy
Pr1 Pr 0.0000 0.0000 0.0000 1
Pr2 Pr 0.3287 0.5000 0.6599 1
Er1 Er 0.1380 0.0000 0.2727 1
Tm1 Tm 0.0855 0.5000 0.1693 1
Tm2 Tm 0.2152 0.0000 0.4303 1
Tm3 Tm 0.4314 0.0000 0.8648 1
Tm4 Tm 0.5000 0.5000 0.0000 1
```

Summary:
The total magnetic moment is 0.0004 μB/atom. Its volume is 406.5 Å³/f.u. Its formation energy is 0.24 eV per atom.

> total magnetic moment of number 2 (PrEr7Tm2)?

0.0000 μB/atom